{
  "formula": "TbPrSm3Y",
  "functional": "GGA-PBE",
  "state": "optimized geometry",
  "cell": [[5.7955, 0.0000, 0.0000], [-2.8978, 10.0568, 1.6997], [0.0000, -1.1899, 6.7885]],
  "species": ["Sm", "Sm", "Sm", "Sm", "Sm", "Sm", "Tb", "Tb", "Y", "Y", "Pr", "Pr"],
  "fractional_positions": [[0.2198, 0.4396, 0.2506], [0.5198, 0.0396, 0.7446], [0.4802, 0.9604, 0.2554], [0.8396, 0.6793, 0.2605], [0.1604, 0.3207, 0.7395], [0.7802, 0.5604, 0.7494], [0.6462, 0.2923, 0.4672], [0.3538, 0.7077, 0.5328], [0.9436, 0.8871, 0.7395], [0.0564, 0.1129, 0.2605], [0.3546, 0.7091, 0.9775], [0.6454, 0.2909, 0.0225]],
  "crystal_system": "monoclinic",
  "dos_at_fermi_per_ev_cell": 17.53,
  "space_group": "C2/m, No. 12",
  "energy_ev_per_atom": -4.82
}

---

{
  "formula": "TbPrSmY3",
  "functional": "GGA-PBE",
  "state": "optimized geometry",
  "cell": [[-0.3323, -0.2260, 5.0807], [-5.9577, -4.4251, -3.1427], [6.0679, -8.1924, 0.0324]],
  "species": ["Pr", "Pr", "Y", "Y", "Y", "Y", "Y", "Y", "Tb", "Tb", "Sm", "Sm"],
  "fractional_positions": [[0.0000, 0.0000, 0.0000], [0.0000, 0.0000, 0.5000], [0.3323, 0.6646, 0.0000], [0.1676, 0.3351, 0.7500], [0.6677, 0.3354, 0.0000], [0.8324, 0.6649, 0.2500], [0.6677, 0.3354, 0.5000], [0.3323, 0.6646, 0.5000], [0.1672, 0.3343, 0.2500], [0.8328, 0.6657, 0.7500], [0.4993, 0.9985, 0.7500], [0.5007, 0.0015, 0.2500]],
  "crystal_system": "orthorhombic",
  "dos_at_fermi_per_ev_cell": 17.81,
  "space_group": "Cmcm, No. 63",
  "energy_ev_per_atom": -5.57
}

---

{
  "formula": "TbPrSm2Y6",
  "functional": "GGA-PBE",
  "state": "optimized geometry",
  "cell": [[9.2868, -2.1158, -2.1957], [0.7322, 8.5675, -1.9868], [0.7322, -2.3030, 8.4880]],
  "species": ["Y", "Y", "Y", "Y", "Y", "Y", "Y", "Y", "Y", "Y", "Y", "Y", "Sm", "Sm", "Sm", "Sm", "Pr", "Pr", "Tb", "Tb"],
  "fractional_positions": [[0.1179, 0.7036, 0.4913], [0.6179, 0.4913, 0.7036], [0.9428, 0.8792, 0.2566], [0.4428, 0.2566, 0.8792], [0.1838, 0.5702, 0.0183], [0.5572, 0.7434, 0.1208], [0.6838, 0.0183, 0.5702], [0.3821, 0.5087, 0.2964], [0.8821, 0.2964, 0.5087], [0.8162, 0.4298, 0.9817], [0.3162, 0.9817, 0.4298], [0.0572, 0.1208, 0.7434], [0.5455, 0.1948, 0.2949], [0.0455, 0.2949, 0.1948], [0.9545, 0.7051, 0.8052], [0.4545, 0.8052, 0.7051], [0.7500, 0.0206, 0.9794], [0.2500, 0.9794, 0.0206], [0.2500, 0.4076, 0.5924], [0.7500, 0.5924, 0.4076]],
  "crystal_system": "monoclinic",
  "dos_at_fermi_per_ev_cell": 30.84,
  "space_group": "C2/c, No. 15",
  "energy_ev_per_atom": -5.65
}

---

{
  "formula": "TbPrSm2Y2",
  "functional": "GGA-PBE",
  "state": "optimized geometry",
  "cell": [[3.4149, 0.0000, 0.0000], [0.0000, 6.6615, 0.0000], [0.0000, 0.0000, 18.0456]],
  "species": ["Sm", "Sm", "Sm", "Sm", "Y", "Y", "Y", "Y", "Tb", "Tb", "Pr", "Pr"],
  "fractional_positions": [[0.0000, 0.7725, 0.1830], [0.0000, 0.2275, 0.8170], [0.5000, 0.7275, 0.6830], [0.5000, 0.2725, 0.3170], [0.5000, 0.7767, 0.3504], [0.0000, 0.2767, 0.1496], [0.5000, 0.2233, 0.6496], [0.0000, 0.7233, 0.8504], [0.5000, 0.5000, 0.0000], [0.0000, 0.0000, 0.5000], [0.0000, 0.0000, 0.0000], [0.5000, 0.5000, 0.5000]],
  "crystal_system": "orthorhombic",
  "dos_at_fermi_per_ev_cell": 21.74,
  "space_group": "Pnnm, No. 58",
  "energy_ev_per_atom": -5.02
}